Material: Tl2SnHg6Au
Method: DFT, PBE
State: relaxed Values from VASP.

Results
ΔH_f (0 K) = 0.027 eV per atom
D(E_F) = 0.23 states/eV per atom
energy = -1.36 eV/atom

Quantum ESPRESSO input file:
```
&SYSTEM
  ibrav = 0, nat = 10, ntyp = 4
/
ATOMIC_SPECIES
Tl 204.38 Tl.upf
Sn 118.71 Sn.upf
Hg 200.59 Hg.upf
Au 196.97 Au.upf
CELL_PARAMETERS angstrom
6.157 0.000 0.000
-0.151 6.537 0.000
-2.334 -0.151 6.721
ATOMIC_POSITIONS crystal
Tl 0.000 0.000 0.000
Tl 0.247 0.578 0.320
Sn 0.369 0.805 0.751
Hg 0.065 0.143 0.462
Hg 0.266 0.370 0.878
Hg 0.565 0.932 0.177
Hg 0.598 0.170 0.610
Hg 0.794 0.508 0.939
Hg 0.838 0.709 0.564
Au 0.655 0.375 0.271
```

---

Material: Hg3N2Cl
Method: DFT, PBE
State: relaxed Values from VASP.

Results
D(E_F) = 0.02 states/eV per atom
energy = -2.51 eV/atom

Quantum ESPRESSO input file:
```
&SYSTEM
  ibrav = 0, nat = 12, ntyp = 3
/
ATOMIC_SPECIES
Hg 200.59 Hg.upf
N 14.01 N.upf
Cl 35.45 Cl.upf
CELL_PARAMETERS angstrom
5.963 0.000 0.000
-0.215 6.995 0.000
-1.519 -2.515 8.549
ATOMIC_POSITIONS crystal
Hg 0.049 0.215 0.237
Hg 0.096 0.249 0.895
Hg 0.314 0.000 0.561
Hg 0.686 0.000 0.439
Hg 0.904 0.751 0.105
Hg 0.951 0.785 0.763
N 0.024 0.024 0.680
N 0.152 0.438 0.135
N 0.848 0.562 0.865
N 0.976 0.976 0.320
Cl 0.453 0.497 0.208
Cl 0.547 0.503 0.792
```

---

Material: AcTbHo
Method: DFT, PBE
State: relaxed Values from VASP.

Results
ΔH_f (0 K) = 0.070 eV per atom
D(E_F) = 1.26 states/eV per atom
energy = -4.37 eV/atom
distance to the lowest polymorph of the same formula = 0.010 eV per atom

Quantum ESPRESSO input file:
```
&SYSTEM
  ibrav = 0, nat = 12, ntyp = 3
/
ATOMIC_SPECIES
Ac 227.00 Ac.upf
Tb 158.93 Tb.upf
Ho 164.93 Ho.upf
CELL_PARAMETERS angstrom
6.492 0.000 0.000
0.000 12.006 0.000
-2.950 0.000 5.464
ATOMIC_POSITIONS crystal
Ac 0.168 0.133 0.157
Ac 0.168 0.367 0.657
Ac 0.832 0.633 0.343
Ac 0.832 0.867 0.843
Tb 0.186 0.614 0.013
Tb 0.186 0.886 0.513
Tb 0.814 0.114 0.487
Tb 0.814 0.386 0.987
Ho 0.482 0.617 0.659
Ho 0.482 0.883 0.159
Ho 0.518 0.117 0.841
Ho 0.518 0.383 0.341
```

---

Material: BaCrPt
Method: DFT, PBE
State: relaxed Values from VASP.

Results
ΔH_f (0 K) = 0.707 eV per atom
D(E_F) = 1.36 states/eV per atom
energy = -5.16 eV/atom
distance to the lowest polymorph of the same formula = 0.868 eV per atom

Quantum ESPRESSO input file:
```
&SYSTEM
  ibrav = 0, nat = 6, ntyp = 3
/
ATOMIC_SPECIES
Ba 137.33 Ba.upf
Cr 52.00 Cr.upf
Pt 195.08 Pt.upf
CELL_PARAMETERS angstrom
5.564 0.000 0.000
-2.782 4.819 0.000
0.000 0.000 9.406
ATOMIC_POSITIONS crystal
Ba 0.333 0.667 0.250
Ba 0.667 0.333 0.750
Cr 0.000 0.000 0.250
Cr 0.000 0.000 0.750
Pt 0.000 0.000 0.000
Pt 0.000 0.000 0.500
```

---

> Among the records above, which one has the highest energy?

Tl2SnHg6Au

---

> Which of these has the lowest energy?

BaCrPt